Record 1
GGA-PBE La3PrS6, optimized geometry; uncorrected formation energy = -205 kJ per mole of atoms
1.0
4.198 0.000 0.000
0.000 11.468 0.168
0.000 -3.670 11.235
La Pr S
6 2 12
direct
0.750 0.430 0.829 La
0.250 0.570 0.171 La
0.750 0.684 0.508 La
0.250 0.316 0.492 La
0.750 0.162 0.083 La
0.250 0.838 0.917 La
0.750 0.045 0.687 Pr
0.250 0.955 0.313 Pr
0.750 0.473 0.608 S
0.250 0.527 0.392 S
0.750 0.917 0.100 S
0.250 0.083 0.900 S
0.750 0.405 0.066 S
0.250 0.595 0.934 S
0.750 0.747 0.280 S
0.250 0.253 0.720 S
0.750 0.109 0.459 S
0.250 0.891 0.541 S
0.750 0.815 0.753 S
0.250 0.185 0.247 S

Record 2
GGA-PBE LaPr4S7, optimized geometry; uncorrected formation energy = -199 kJ per mole of atoms
1.0
-1.800 -2.585 2.469
6.229 -2.903 -1.742
2.545 7.155 9.346
La Pr S
1 4 7
direct
0.889 0.777 0.580 La
0.700 0.399 0.812 Pr
0.300 0.601 0.189 Pr
0.000 0.000 0.000 Pr
0.112 0.223 0.419 Pr
0.739 0.479 0.350 S
0.259 0.518 0.649 S
0.341 0.682 0.950 S
0.659 0.319 0.051 S
0.045 0.090 0.786 S
0.956 0.911 0.215 S
0.501 0.002 0.499 S

Record 3
GGA-PBE LaPrS2, optimized geometry; uncorrected formation energy = -186 kJ per mole of atoms
1.0
-2.710 0.088 -2.956
1.876 -3.430 0.899
-5.310 -1.643 4.820
La Pr S
1 1 2
direct
0.000 0.500 0.500 La
0.000 0.500 0.000 Pr
0.667 0.833 0.753 S
0.333 0.167 0.247 S

Record 4
GGA-PBE LaPrS2, optimized geometry; uncorrected formation energy = -203 kJ per mole of atoms
1.0
-1.401 0.801 3.808
2.056 -1.411 3.300
3.858 5.451 2.519
Pr S La
1 2 1
direct
0.500 0.500 0.500 Pr
0.249 0.249 0.252 S
0.751 0.751 0.748 S
0.000 0.000 0.000 La

Number 1: calculated total energy -6.562 eV per atom, magnetic moment 0.000 μB per cell. Number 2: calculated total energy -6.473 eV per atom, magnetic moment 0.000 μB per cell. Number 3: calculated total energy -6.419 eV per atom, magnetic moment 0.000 μB per cell. Number 4: calculated total energy -6.593 eV per atom, magnetic moment 0.000 μB per cell.